Entry 1:
Material: FeN
Method: DFT, GGA-PBE
State: relaxed

a b c (Å): 3.432 3.432 4.774
angles (deg): 90.00 90.00 90.00
Fractional positions:
Fe 0.000 0.000 0.000
Fe 0.000 0.000 0.500
N 0.000 0.500 0.000
N 0.500 0.000 0.500

energy relative to the elements, uncorrected = 927 meV per atom
calculated volume = 14.06 Å³/atom

***

Entry 2:
Material: FeN2
Method: DFT, GGA-PBE
State: relaxed

a b c (Å): 3.864 4.627 2.584
angles (deg): 90.00 90.00 90.00
Fractional positions:
Fe 0.000 0.000 0.000
Fe 0.500 0.500 0.500
N 0.129 0.406 0.000
N 0.371 0.906 0.500
N 0.629 0.094 0.500
N 0.871 0.594 0.000

energy relative to the elements, uncorrected = 186 meV per atom
calculated volume = 7.70 Å³/atom

***

Entry 3:
Material: FeN
Method: DFT, GGA-PBE
State: relaxed

a b c (Å): 5.001 5.001 5.001
angles (deg): 109.47 109.47 109.47
Fractional positions:
Fe 0.000 0.000 0.295
Fe 0.000 0.295 0.000
Fe 0.295 0.000 0.000
Fe 0.705 0.705 0.705
N 0.000 0.000 0.653
N 0.000 0.653 0.000
N 0.347 0.347 0.347
N 0.653 0.000 0.000

energy relative to the elements, uncorrected = 67 meV per atom
calculated volume = 12.03 Å³/atom

***

Entry 4:
Material: FeN
Method: DFT, GGA-PBE
State: relaxed

a b c (Å): 5.278 5.278 2.915
angles (deg): 90.00 90.00 90.00
Fractional positions:
Fe 0.168 0.168 0.000
Fe 0.332 0.668 0.500
Fe 0.668 0.332 0.500
Fe 0.832 0.832 0.000
N 0.183 0.817 0.000
N 0.317 0.317 0.500
N 0.683 0.683 0.500
N 0.817 0.183 0.000

energy relative to the elements, uncorrected = 81 meV per atom
calculated volume = 10.15 Å³/atom

***

Entry 5:
Material: Fe2N
Method: DFT, GGA-PBE
State: relaxed

a b c (Å): 2.816 2.816 4.211
angles (deg): 90.00 90.00 120.00
Fractional positions:
Fe 0.333 0.667 0.246
Fe 0.667 0.333 0.754
N 0.000 0.000 0.500

energy relative to the elements, uncorrected = 84 meV per atom
calculated volume = 9.64 Å³/atom

***

Entry 6:
Material: Fe8N3
Method: DFT, GGA-PBE
State: relaxed

a b c (Å): 9.171 9.171 4.680
angles (deg): 90.03 90.03 123.90
Fractional positions:
Fe 0.036 0.212 0.660
Fe 0.038 0.710 0.828
Fe 0.117 0.630 0.339
Fe 0.118 0.124 0.171
Fe 0.204 0.544 0.834
Fe 0.207 0.041 0.660
Fe 0.289 0.461 0.334
Fe 0.290 0.962 0.172
Fe 0.370 0.883 0.661
Fe 0.374 0.374 0.836
Fe 0.456 0.296 0.327
Fe 0.456 0.796 0.166
Fe 0.538 0.215 0.838
Fe 0.539 0.711 0.666
Fe 0.625 0.128 0.335
Fe 0.626 0.626 0.164
Fe 0.704 0.544 0.673
Fe 0.705 0.047 0.824
Fe 0.785 0.462 0.162
Fe 0.788 0.964 0.340
Fe 0.872 0.375 0.665
Fe 0.876 0.882 0.829
Fe 0.953 0.295 0.176
Fe 0.959 0.793 0.340
N 0.084 0.916 0.000
N 0.246 0.252 0.493
N 0.326 0.674 0.500
N 0.418 0.582 0.000
N 0.497 0.004 0.000
N 0.664 0.336 0.500
N 0.748 0.754 0.507
N 0.910 0.090 0.000
N 0.996 0.503 0.000

energy relative to the elements, uncorrected = -60 meV per atom
calculated volume = 9.90 Å³/atom

***

Entry 7:
Material: FeN
Method: DFT, GGA-PBE
State: relaxed

a b c (Å): 2.736 2.736 5.012
angles (deg): 90.00 90.00 120.00
Fractional positions:
Fe 0.000 0.000 0.000
Fe 0.000 0.000 0.500
N 0.333 0.667 0.250
N 0.667 0.333 0.750

energy relative to the elements, uncorrected = 69 meV per atom
calculated volume = 8.12 Å³/atom

***

Entry 8:
Material: FeN
Method: DFT, GGA-PBE
State: relaxed

a b c (Å): 5.574 5.574 5.574
angles (deg): 94.47 94.47 147.56
Fractional positions:
Fe 0.135 0.696 0.831
Fe 0.304 0.135 0.439
Fe 0.696 0.865 0.561
Fe 0.865 0.304 0.169
N 0.100 0.269 0.369
N 0.269 0.900 0.169
N 0.731 0.100 0.831
N 0.900 0.731 0.631

energy relative to the elements, uncorrected = 71 meV per atom
calculated volume = 11.15 Å³/atom

***

> Which of these has the highest energy relative to the elements, uncorrected?

number 1

***

Repeat the fourth record exactly.
Material: FeN
Method: DFT, GGA-PBE
State: relaxed

a b c (Å): 5.278 5.278 2.915
angles (deg): 90.00 90.00 90.00
Fractional positions:
Fe 0.168 0.168 0.000
Fe 0.332 0.668 0.500
Fe 0.668 0.332 0.500
Fe 0.832 0.832 0.000
N 0.183 0.817 0.000
N 0.317 0.317 0.500
N 0.683 0.683 0.500
N 0.817 0.183 0.000

energy relative to the elements, uncorrected = 81 meV per atom
calculated volume = 10.15 Å³/atom

***

> energy relative to the elements, uncorrected of number 1 (FeN)?

927 meV per atom